[1]
SrTmGe2Pd5 | PBE-GGA | optimized geometry

abc: 4.390 4.390 8.851
angles: 90.00 90.00 90.00
Space group P4/mmm (No. 123)
Inequivalent atoms, fractional coordinates:
Sr 0.000 0.000 0.000 (multiplicity 1)
Tm 0.000 0.000 0.500 (multiplicity 1)
Ge 0.500 0.500 0.361 (multiplicity 2)
Pd 0.000 0.500 0.240 (multiplicity 4)
Pd 0.500 0.500 0.000 (multiplicity 1)

Properties
As for the formation energy: -650 meV per atom.



[2]
SrV2GePd | PBE-GGA | optimized geometry

abc: 4.765 4.765 5.250
angles: 90.00 90.00 90.00
Space group P4/mmm (No. 123)
Inequivalent atoms, fractional coordinates:
Sr 0.000 0.000 0.000 (multiplicity 1)
V 0.000 0.500 0.000 (multiplicity 2)
Ge 0.000 0.000 0.500 (multiplicity 1)
Pd 0.500 0.500 0.500 (multiplicity 1)

Properties
As for the formation energy: 2195 meV per atom.



Let's list M_tot in order: 0.000 0.910 μB/atom.